Material: DyTm3Co
Method: DFT, PBE
State: relaxed

Unit cell a=5.200 b=5.200 c=5.200 alpha=90.00 beta=90.00 gamma=90.00
Space group Pm-3m (No. 221)
Asymmetric unit:
Dy 0.000 0.000 0.000 [1 per cell]
Tm 0.000 0.500 0.500 [3 per cell]
Co 0.500 0.500 0.500 [1 per cell]

- energy above the lowest structure with this stoichiometry (eV per atom) = 0.047
- energy of formation from the pure elements (meV/atom) = -37
- volume (Å³ per atom) = 28.1



Material: Tm4AlBi
Method: DFT, PBE
State: relaxed

Unit cell a=13.868 b=13.868 c=13.868 alpha=90.00 beta=90.00 gamma=90.00
Space group F-43m (No. 216)
Asymmetric unit:
Tm 0.000 0.000 0.184 [24 per cell]
Tm 0.055 0.250 0.750 [24 per cell]
Tm 0.129 0.129 0.371 [16 per cell]
Al 0.155 0.155 0.155 [16 per cell]
Bi 0.097 0.097 0.597 [16 per cell]

- energy above the lowest structure with this stoichiometry (eV per atom) = 0.000
- energy of formation from the pure elements (meV/atom) = -361
- volume (Å³ per atom) = 27.8



Material: NaLi4Ho
Method: DFT, PBE
State: relaxed

Unit cell a=8.343 b=8.343 c=8.343 alpha=90.00 beta=90.00 gamma=90.00
Space group F-43m (No. 216)
Asymmetric unit:
Na 0.000 0.000 0.000 [4 per cell]
Li 0.125 0.125 0.375 [16 per cell]
Ho 0.250 0.250 0.750 [4 per cell]

- energy of formation from the pure elements (meV/atom) = 172
- volume (Å³ per atom) = 24.2



Material: TbTaClO4
Method: DFT, PBE
State: relaxed

Unit cell a=11.845 b=6.819 c=7.068 alpha=90.00 beta=104.23 gamma=90.00
Space group C2/m (No. 12)
Asymmetric unit:
Tb 0.214 0.000 0.355 [4 per cell]
Ta 0.139 0.000 0.775 [4 per cell]
Cl 0.022 0.500 0.373 [4 per cell]
O 0.023 0.000 0.276 [4 per cell]
O 0.195 0.204 0.642 [8 per cell]
O 0.207 0.000 0.039 [4 per cell]

- formation energy without anion corrections (meV/atom) = -2631
- volume (Å³ per atom) = 19.8



Material: BaB2Br
Method: DFT, PBE
State: relaxed

Unit cell a=7.416 b=7.416 c=6.629 alpha=90.00 beta=90.00 gamma=90.00
Space group I-42d (No. 122)
Asymmetric unit:
Ba 0.000 0.000 0.000 [4 per cell]
B 0.180 0.250 0.625 [8 per cell]
Br 0.000 0.000 0.500 [4 per cell]

- energy above the lowest structure with this stoichiometry (eV per atom) = 0.000
- formation energy without anion corrections (meV/atom) = 1332
- volume (Å³ per atom) = 22.8



Material: AlCrPRh2
Method: DFT, PBE
State: relaxed

Unit cell a=4.419 b=4.419 c=4.469 alpha=90.00 beta=90.00 gamma=90.00
Space group P4/mmm (No. 123)
Asymmetric unit:
Al 0.000 0.000 0.000 [1 per cell]
Cr 0.500 0.500 0.500 [1 per cell]
P 0.000 0.000 0.500 [1 per cell]
Rh 0.000 0.500 0.000 [2 per cell]

- energy of formation from the pure elements (meV/atom) = 1129
- volume (Å³ per atom) = 17.5



Material: Ga3GeBi
Method: DFT, PBE
State: relaxed

Unit cell a=4.994 b=4.994 c=4.994 alpha=90.00 beta=90.00 gamma=90.00
Space group Pm-3m (No. 221)
Asymmetric unit:
Ga 0.000 0.000 0.500 [3 per cell]
Ge 0.000 0.000 0.000 [1 per cell]
Bi 0.500 0.500 0.500 [1 per cell]

- energy above the lowest structure with this stoichiometry (eV per atom) = 0.000
- energy of formation from the pure elements (meV/atom) = 282
- volume (Å³ per atom) = 24.9



Material: Ti4NbGa3
Method: DFT, PBE
State: relaxed

Unit cell a=9.303 b=6.101 c=4.664 alpha=90.00 beta=90.00 gamma=90.00
Space group Pmn2_1 (No. 31)
Asymmetric unit:
Ti 0.000 0.124 0.000 [2 per cell]
Ti 0.000 0.869 0.500 [2 per cell]
Ti 0.244 0.129 0.501 [4 per cell]
Nb 0.000 0.397 0.500 [2 per cell]
Ga 0.000 0.641 0.000 [2 per cell]
Ga 0.236 0.367 0.001 [4 per cell]

- energy above the lowest structure with this stoichiometry (eV per atom) = 0.174
- energy of formation from the pure elements (meV/atom) = -232
- volume (Å³ per atom) = 16.5



Material: LiCrTc2
Method: DFT, PBE
State: relaxed

Unit cell a=2.533 b=4.201 c=5.003 alpha=90.00 beta=90.00 gamma=90.00
Space group Pmm2 (No. 25)
Asymmetric unit:
Li 0.000 0.000 0.000 [1 per cell]
Cr 0.500 0.500 0.760 [1 per cell]
Tc 0.000 0.000 0.506 [1 per cell]
Tc 0.500 0.500 0.238 [1 per cell]

- energy above the lowest structure with this stoichiometry (eV per atom) = 0.145
- energy of formation from the pure elements (meV/atom) = 330
- volume (Å³ per atom) = 13.3



Material: LuZrHgRu
Method: DFT, PBE
State: relaxed

Unit cell a=6.885 b=6.885 c=6.885 alpha=90.00 beta=90.00 gamma=90.00
Space group F-43m (No. 216)
Asymmetric unit:
Lu 0.000 0.000 0.000 [4 per cell]
Zr 0.000 0.000 0.500 [4 per cell]
Hg 0.250 0.250 0.750 [4 per cell]
Ru 0.250 0.250 0.250 [4 per cell]

- energy of formation from the pure elements (meV/atom) = -313
- volume (Å³ per atom) = 20.4



Material: MgVSiRu2
Method: DFT, PBE
State: relaxed

Unit cell a=4.469 b=4.469 c=4.540 alpha=90.00 beta=90.00 gamma=90.00
Space group P4/mmm (No. 123)
Asymmetric unit:
Mg 0.000 0.000 0.000 [1 per cell]
V 0.500 0.500 0.500 [1 per cell]
Si 0.500 0.500 0.000 [1 per cell]
Ru 0.000 0.500 0.500 [2 per cell]

- formation energy without anion corrections (meV/atom) = 709
- volume (Å³ per atom) = 18.1



Material: BaBe3Ge
Method: DFT, PBE
State: relaxed

Unit cell a=4.607 b=4.607 c=4.607 alpha=90.00 beta=90.00 gamma=90.00
Space group Pm-3m (No. 221)
Asymmetric unit:
Ba 0.000 0.000 0.000 [1 per cell]
Be 0.000 0.500 0.500 [3 per cell]
Ge 0.500 0.500 0.500 [1 per cell]

- energy above the lowest structure with this stoichiometry (eV per atom) = 0.000
- energy of formation from the pure elements (meV/atom) = 708
- volume (Å³ per atom) = 19.6



Which value of volume does entry 1 give? 28.1 Å³ per atom



Which formula does entry 7 have? Ga3GeBi



Which of these has the lowest volume? LiCrTc2



The highest volume belongs to which entry? DyTm3Co